Here is a relaxed structure of Nd4Ho2TmMg from Alexandria. Energies are from GGA-PBE.

Cell and atoms, written as POSCAR:
```
Nd4Ho2TmMg
1.0
5.0828 0.0000 0.0000
0.0000 5.0828 0.0000
0.0000 0.0000 9.8979
Nd Ho Tm Mg
4 2 1 1
direct
0.0000 0.5000 0.2467
0.0000 0.5000 0.7533
0.5000 0.0000 0.2467
0.5000 0.0000 0.7533
0.0000 0.0000 0.0000
0.5000 0.5000 0.5000
0.0000 0.0000 0.5000
0.5000 0.5000 0.0000
```

Calculated values
total moment	0.000	μB per atom
formation energy	0.0074	eV per atom
ρ	7.14	g cm⁻³
E	-4.28	eV/atom